Record 1
Computed, not measured: MnAlAsBr2 after structural relaxation at the GGA-PBEsol level of DFT.

Total magnetization   4.79 μB/f.u.
Uncorrected energy   -21.25 eV/cell

Structure (POSCAR):
```
MnAlAsBr2
1.0
4.880 0.000 0.000
0.000 4.880 0.000
0.000 0.000 5.104
Mn Al As Br
1 1 1 2
Direct
0.000 0.000 0.000
0.500 0.500 0.500
0.500 0.500 0.000
0.000 0.500 0.500
0.500 0.000 0.500
```

---

Record 2
Computed, not measured: AlMoAsBr2 after structural relaxation at the GGA-PBEsol level of DFT.

Total magnetization   1.35 μB/f.u.
Uncorrected energy   -23.00 eV/cell

Structure (POSCAR):
```
AlMoAsBr2
1.0
5.176 0.000 0.000
0.000 5.176 0.000
0.000 0.000 4.813
Al Mo As Br
1 1 1 2
Direct
0.000 0.000 0.000
0.500 0.500 0.500
0.500 0.500 0.000
0.000 0.500 0.500
0.500 0.000 0.500
```